1.
Density functional theory data (PBE-GGA) for In4NiI2 after structural relaxation.

The value obtained for the magnetization is 0.0 Bohr magnetons per cell. As for the calculated total energy: -42.8 eV per cell. For the calculated volume, the calculation gives 456 Å³/cell.

The structure belongs to space group I4/mmm (No. 139); the cell edges are 5.069, 5.069 and 17.768 Å and the angles 90.00°, 90.00° and 90.00°. The inequivalent atoms are In at (0.000, 0.000, 0.146), In at (0.000, 0.500, 0.000), Ni at (0.000, 0.000, 0.000) and I at (0.000, 0.000, 0.336).

=====

2.
Density functional theory data (PBE-GGA) for InNiI3 after structural relaxation.

The value obtained for the magnetization is 0.0 Bohr magnetons per cell. As for the calculated total energy: -13.8 eV per cell. For the calculated volume, the calculation gives 159 Å³/cell. The energy above the most stable polymorph in this dataset comes out at 0 meV per atom.

The structure belongs to space group Pm-3m (No. 221); the cell edges are 5.412, 5.412 and 5.412 Å and the angles 90.00°, 90.00° and 90.00°. The inequivalent atoms are In at (0.000, 0.000, 0.000), Ni at (0.500, 0.500, 0.500) and I at (0.000, 0.500, 0.500).

=====

3.
Density functional theory data (PBE-GGA) for In3NiI after structural relaxation.

The value obtained for the magnetization is 0.0 Bohr magnetons per cell. As for the calculated total energy: -16.7 eV per cell. For the calculated volume, the calculation gives 136 Å³/cell. The energy above the most stable polymorph in this dataset comes out at 0 meV per atom.

The structure belongs to space group Pm-3m (No. 221); the cell edges are 5.139, 5.139 and 5.139 Å and the angles 90.00°, 90.00° and 90.00°. The inequivalent atoms are In at (0.000, 0.000, 0.500), Ni at (0.000, 0.000, 0.000) and I at (0.500, 0.500, 0.500).

=====

What is the calculated volume in the second record?
159 Å³/cell

=====

calculated total energy of number 1 (In4NiI2)?
-42.8 eV per cell

=====

Look up the magnetization of the first one.
0.0 Bohr magnetons per cell

=====

What is the formula in the second record?
InNiI3